Record 1
KRb2Pb2Br7 after structural relaxation. Source: Alexandria via LeMat-Bulk, functional PBE-GGA.

As for the density: 3.80 Mg/m³. Its raw formation energy is -1300 meV/atom. For the total moment, the calculation gives 0.00 μB per cell.

abc: 5.975 5.975 15.028
angles: 79.42 79.42 91.00
Sites, in units of the cell vectors:
Pb1 0.368 0.368 0.208
Pb2 0.632 0.632 0.792
Rb1 0.766 0.766 0.357
Rb2 0.234 0.234 0.643
K1 0.000 0.000 0.000
Br1 0.330 0.871 0.198
Br2 0.686 0.686 0.590
Br3 0.871 0.330 0.198
Br4 0.500 0.500 0.000
Br5 0.129 0.670 0.802
Br6 0.314 0.314 0.410
Br7 0.670 0.129 0.802



Record 2
TiBeH3 after structural relaxation. Source: Alexandria via LeMat-Bulk, functional PBE-GGA.

Its energy above the most stable polymorph in this dataset is 0 meV/atom. As for the density: 2.43 Mg/m³. For the total moment, the calculation gives 0.00 μB per cell.

abc: 2.740 4.235 8.198
angles: 66.85 109.02 90.01
Sites, in units of the cell vectors:
Ti1 0.959 0.725 0.891
Ti2 0.729 0.035 0.168
Be1 0.329 0.461 0.271
Be2 0.358 0.300 0.788
H1 0.776 0.221 0.704
H2 0.912 0.540 0.355
H3 0.395 0.072 0.338
H4 0.513 0.955 0.947
H5 0.175 0.806 0.113
H6 0.293 0.688 0.721